1.
The following is a PBE-GGA calculation of an optimized crystal structure of ZrSnN2O, from OQMD.

Electronic total energy ... -0.577 Ry/atom

a = 4.013 Å, b = 4.013 Å, c = 5.940 Å
α = 105.65°, β = 105.65°, γ = 90.15°
Atoms (fractional coordinates):
Zr  0.000  0.000  0.000
Sn  0.626  0.626  0.295
N  0.071  0.567  0.154
N  0.567  0.071  0.154
O  0.798  0.798  0.651

***

2.
The following is a PBE-GGA calculation of an optimized crystal structure of SrTaNO, from OQMD.

Excess energy over the best structure of this formula in the dataset ... 370 meV per atom

a = 4.111 Å, b = 4.111 Å, c = 9.316 Å
α = 90.00°, β = 90.00°, γ = 90.00°
Atoms (fractional coordinates):
Sr  0.250  0.250  0.121
Sr  0.750  0.750  0.879
Ta  0.250  0.750  0.500
Ta  0.750  0.250  0.500
N  0.250  0.250  0.549
N  0.750  0.750  0.451
O  0.250  0.750  0.000
O  0.750  0.250  0.000

***

3.
The following is a PBE-GGA calculation of an optimized crystal structure of Sr2Ta2NO5, from OQMD.

Electronic total energy ... -0.637 Ry/atom

a = 4.012 Å, b = 4.012 Å, c = 8.120 Å
α = 90.00°, β = 90.00°, γ = 90.00°
Atoms (fractional coordinates):
Sr  0.000  0.000  0.000
Sr  0.000  0.000  0.500
Ta  0.500  0.500  0.245
Ta  0.500  0.500  0.755
N  0.500  0.500  0.000
O  0.000  0.500  0.257
O  0.000  0.500  0.743
O  0.500  0.000  0.257
O  0.500  0.000  0.743
O  0.500  0.500  0.500

***

4.
The following is a PBE-GGA calculation of an optimized crystal structure of SrTaNO, from OQMD.

Excess energy over the best structure of this formula in the dataset ... 0 meV per atom

a = 5.749 Å, b = 3.993 Å, c = 5.643 Å
α = 90.00°, β = 90.00°, γ = 90.00°
Atoms (fractional coordinates):
Sr  0.250  0.000  0.245
Sr  0.750  0.000  0.755
Ta  0.250  0.500  0.761
Ta  0.750  0.500  0.239
N  0.000  0.500  0.000
N  0.500  0.500  0.000
O  0.250  0.000  0.706
O  0.750  0.000  0.294

***

5.
The following is a PBE-GGA calculation of an optimized crystal structure of SrTaNO, from OQMD.

Excess energy over the best structure of this formula in the dataset ... 525 meV per atom

a = 4.480 Å, b = 4.480 Å, c = 6.384 Å
α = 90.00°, β = 90.00°, γ = 90.00°
Atoms (fractional coordinates):
Sr  0.250  0.750  0.000
Sr  0.750  0.250  0.000
Ta  0.250  0.250  0.455
Ta  0.750  0.750  0.545
N  0.250  0.250  0.168
N  0.750  0.750  0.832
O  0.250  0.750  0.500
O  0.750  0.250  0.500

***

6.
The following is a PBE-GGA calculation of an optimized crystal structure of SrTaNO, from OQMD.

Excess energy over the best structure of this formula in the dataset ... 144 meV per atom

a = 3.765 Å, b = 5.987 Å, c = 5.955 Å
α = 90.00°, β = 90.00°, γ = 90.00°
Atoms (fractional coordinates):
Sr  0.000  0.151  0.000
Sr  0.000  0.849  0.500
Ta  0.500  0.397  0.439
Ta  0.500  0.603  0.939
N  0.000  0.286  0.423
N  0.000  0.714  0.923
O  0.500  0.305  0.776
O  0.500  0.695  0.276

***

7.
The following is a PBE-GGA calculation of an optimized crystal structure of SrTaNO, from OQMD.

Excess energy over the best structure of this formula in the dataset ... 228 meV per atom

a = 6.332 Å, b = 8.060 Å, c = 5.318 Å
α = 90.00°, β = 90.00°, γ = 90.00°
Atoms (fractional coordinates):
Sr  0.067  0.148  0.000
Sr  0.433  0.148  0.500
Sr  0.567  0.852  0.000
Sr  0.933  0.852  0.500
Ta  0.127  0.642  0.002
Ta  0.373  0.642  0.502
Ta  0.627  0.358  0.002
Ta  0.873  0.358  0.502
N  0.030  0.161  0.497
N  0.470  0.161  0.997
N  0.530  0.839  0.497
N  0.970  0.839  0.997
O  0.074  0.541  0.603
O  0.426  0.541  0.103
O  0.574  0.459  0.603
O  0.926  0.459  0.103

***

8.
The following is a PBE-GGA calculation of an optimized crystal structure of SrTaNO, from OQMD.

Excess energy over the best structure of this formula in the dataset ... 81 meV per atom

a = 6.553 Å, b = 7.669 Å, c = 5.197 Å
α = 90.00°, β = 90.00°, γ = 90.00°
Atoms (fractional coordinates):
Sr  0.064  0.140  0.000
Sr  0.436  0.140  0.500
Sr  0.564  0.860  0.000
Sr  0.936  0.860  0.500
Ta  0.117  0.631  0.002
Ta  0.383  0.631  0.502
Ta  0.617  0.369  0.002
Ta  0.883  0.369  0.502
N  0.095  0.549  0.616
N  0.405  0.549  0.116
N  0.595  0.451  0.616
N  0.905  0.451  0.116
O  0.066  0.164  0.490
O  0.434  0.164  0.990
O  0.566  0.836  0.490
O  0.934  0.836  0.990

***

9.
The following is a PBE-GGA calculation of an optimized crystal structure of SrTbNO, from OQMD.

Excess energy over the best structure of this formula in the dataset ... 761 meV per atom

a = 4.159 Å, b = 4.159 Å, c = 8.341 Å
α = 90.00°, β = 90.00°, γ = 90.00°
Atoms (fractional coordinates):
Sr  0.250  0.750  0.000
Sr  0.750  0.250  0.000
Tb  0.250  0.250  0.389
Tb  0.750  0.750  0.611
N  0.250  0.250  0.832
N  0.750  0.750  0.168
O  0.250  0.750  0.500
O  0.750  0.250  0.500

***

10.
The following is a PBE-GGA calculation of an optimized crystal structure of SrTbNO, from OQMD.

Excess energy over the best structure of this formula in the dataset ... 79 meV per atom

a = 3.876 Å, b = 7.038 Å, c = 5.828 Å
α = 90.00°, β = 90.00°, γ = 90.00°
Atoms (fractional coordinates):
Sr  0.000  0.162  0.000
Sr  0.000  0.838  0.500
Tb  0.500  0.340  0.515
Tb  0.500  0.660  0.015
N  0.000  0.191  0.436
N  0.000  0.809  0.936
O  0.500  0.359  0.894
O  0.500  0.641  0.394

***

11.
The following is a PBE-GGA calculation of an optimized crystal structure of SrTbNO, from OQMD.

Excess energy over the best structure of this formula in the dataset ... 0 meV per atom

a = 7.133 Å, b = 8.334 Å, c = 5.036 Å
α = 90.00°, β = 90.00°, γ = 90.00°
Atoms (fractional coordinates):
Sr  0.084  0.131  0.000
Sr  0.416  0.131  0.500
Sr  0.584  0.869  0.000
Sr  0.916  0.869  0.500
Tb  0.086  0.618  0.997
Tb  0.414  0.618  0.497
Tb  0.586  0.382  0.997
Tb  0.914  0.382  0.497
N  0.093  0.611  0.510
N  0.407  0.611  0.010
N  0.593  0.389  0.510
N  0.907  0.389  0.010
O  0.067  0.140  0.502
O  0.433  0.140  0.002
O  0.567  0.860  0.502
O  0.933  0.860  0.002

***

12.
The following is a PBE-GGA calculation of an optimized crystal structure of SrTbNO, from OQMD.

Excess energy over the best structure of this formula in the dataset ... 179 meV per atom

a = 6.872 Å, b = 8.156 Å, c = 5.683 Å
α = 90.00°, β = 90.00°, γ = 90.00°
Atoms (fractional coordinates):
Sr  0.084  0.125  0.000
Sr  0.416  0.125  0.500
Sr  0.584  0.875  0.000
Sr  0.916  0.875  0.500
Tb  0.086  0.616  0.977
Tb  0.414  0.616  0.477
Tb  0.586  0.384  0.977
Tb  0.914  0.384  0.477
N  0.053  0.159  0.547
N  0.447  0.159  0.047
N  0.553  0.841  0.547
N  0.947  0.841  0.047
O  0.099  0.600  0.585
O  0.401  0.600  0.085
O  0.599  0.400  0.585
O  0.901  0.400  0.085

***

13.
The following is a PBE-GGA calculation of an optimized crystal structure of SrTbNO, from OQMD.

Excess energy over the best structure of this formula in the dataset ... 40 meV per atom

a = 4.987 Å, b = 4.987 Å, c = 5.122 Å
α = 90.00°, β = 90.00°, γ = 90.00°
Atoms (fractional coordinates):
Sr  0.250  0.250  0.000
Sr  0.750  0.750  0.000
Tb  0.250  0.750  0.500
Tb  0.750  0.250  0.500
N  0.250  0.250  0.499
N  0.750  0.750  0.501
O  0.250  0.750  0.000
O  0.750  0.250  0.000

***

14.
The following is a PBE-GGA calculation of an optimized crystal structure of SrTbNO, from OQMD.

Excess energy over the best structure of this formula in the dataset ... 66 meV per atom

a = 4.151 Å, b = 7.175 Å, c = 5.062 Å
α = 90.00°, β = 90.00°, γ = 90.00°
Atoms (fractional coordinates):
Sr  0.000  0.168  0.000
Sr  0.000  0.832  0.500
Tb  0.500  0.342  0.506
Tb  0.500  0.658  0.006
N  0.500  0.351  0.980
N  0.500  0.649  0.480
O  0.000  0.194  0.494
O  0.000  0.806  0.994

***

15.
The following is a PBE-GGA calculation of an optimized crystal structure of SrTcNO, from OQMD.

Excess energy over the best structure of this formula in the dataset ... 312 meV per atom

a = 3.877 Å, b = 3.877 Å, c = 8.958 Å
α = 90.00°, β = 90.00°, γ = 90.00°
Atoms (fractional coordinates):
Sr  0.250  0.250  0.145
Sr  0.750  0.750  0.855
Tc  0.250  0.750  0.500
Tc  0.750  0.250  0.500
N  0.250  0.250  0.582
N  0.750  0.750  0.418
O  0.250  0.750  0.000
O  0.750  0.250  0.000

***

16.
The following is a PBE-GGA calculation of an optimized crystal structure of SrTcNO, from OQMD.

Excess energy over the best structure of this formula in the dataset ... 46 meV per atom

a = 4.040 Å, b = 5.412 Å, c = 5.580 Å
α = 90.00°, β = 90.00°, γ = 90.00°
Atoms (fractional coordinates):
Sr  0.000  0.246  0.000
Sr  0.000  0.754  0.500
Tc  0.500  0.226  0.502
Tc  0.500  0.774  0.002
N  0.500  0.002  0.250
N  0.500  0.998  0.750
O  0.000  0.307  0.504
O  0.000  0.693  0.004

***

17.
The following is a PBE-GGA calculation of an optimized crystal structure of SrTcNO, from OQMD.

Excess energy over the best structure of this formula in the dataset ... 289 meV per atom

a = 6.471 Å, b = 7.379 Å, c = 5.134 Å
α = 90.00°, β = 90.00°, γ = 90.00°
Atoms (fractional coordinates):
Sr  0.088  0.198  0.000
Sr  0.412  0.198  0.500
Sr  0.588  0.802  0.000
Sr  0.912  0.802  0.500
Tc  0.140  0.664  0.000
Tc  0.360  0.664  0.500
Tc  0.640  0.336  0.000
Tc  0.860  0.336  0.500
N  0.007  0.138  0.490
N  0.493  0.138  0.990
N  0.507  0.862  0.490
N  0.993  0.862  0.990
O  0.116  0.493  0.685
O  0.384  0.493  0.185
O  0.616  0.507  0.685
O  0.884  0.507  0.185

***

18.
The following is a PBE-GGA calculation of an optimized crystal structure of SrTcNO, from OQMD.

Excess energy over the best structure of this formula in the dataset ... 761 meV per atom

a = 4.709 Å, b = 4.709 Å, c = 5.363 Å
α = 90.00°, β = 90.00°, γ = 90.00°
Atoms (fractional coordinates):
Sr  0.250  0.750  0.000
Sr  0.750  0.250  0.000
Tc  0.250  0.250  0.477
Tc  0.750  0.750  0.523
N  0.250  0.250  0.129
N  0.750  0.750  0.871
O  0.250  0.750  0.500
O  0.750  0.250  0.500

***

19.
The following is a PBE-GGA calculation of an optimized crystal structure of SrTcNO, from OQMD.

Excess energy over the best structure of this formula in the dataset ... 0 meV per atom

a = 5.244 Å, b = 8.415 Å, c = 5.280 Å
α = 90.00°, β = 90.00°, γ = 90.00°
Atoms (fractional coordinates):
Sr  0.003  0.151  0.000
Sr  0.497  0.151  0.500
Sr  0.503  0.849  0.000
Sr  0.997  0.849  0.500
Tc  0.012  0.583  0.008
Tc  0.488  0.583  0.508
Tc  0.512  0.417  0.008
Tc  0.988  0.417  0.508
N  0.156  0.595  0.674
N  0.344  0.595  0.174
N  0.656  0.405  0.674
N  0.844  0.405  0.174
O  0.015  0.148  0.511
O  0.485  0.148  0.011
O  0.515  0.852  0.511
O  0.985  0.852  0.011

***

20.
The following is a PBE-GGA calculation of an optimized crystal structure of SrTcNO, from OQMD.

Excess energy over the best structure of this formula in the dataset ... 133 meV per atom

a = 3.790 Å, b = 5.563 Å, c = 5.476 Å
α = 90.00°, β = 90.00°, γ = 90.00°
Atoms (fractional coordinates):
Sr  0.000  0.207  0.000
Sr  0.000  0.793  0.500
Tc  0.500  0.284  0.499
Tc  0.500  0.716  0.999
N  0.000  0.327  0.499
N  0.000  0.673  0.999
O  0.500  0.002  0.751
O  0.500  0.998  0.251

***

21.
The following is a PBE-GGA calculation of an optimized crystal structure of Sr2TmNO6, from OQMD.

Electronic total energy ... -0.438 Ry/atom

a = 5.467 Å, b = 5.465 Å, c = 9.460 Å
α = 90.00°, β = 125.28°, γ = 90.00°
Atoms (fractional coordinates):
Sr  0.250  0.000  0.250
Sr  0.250  0.500  0.750
Sr  0.750  0.000  0.750
Sr  0.750  0.500  0.250
Tm  0.000  0.000  0.500
Tm  0.000  0.500  0.000
N  0.500  0.000  0.000
N  0.500  0.500  0.500
O  0.265  0.001  0.776
O  0.265  0.499  0.276
O  0.280  0.723  0.506
O  0.280  0.777  0.006
O  0.283  0.225  0.006
O  0.283  0.275  0.506
O  0.717  0.725  0.494
O  0.717  0.775  0.994
O  0.720  0.223  0.994
O  0.720  0.277  0.494
O  0.735  0.501  0.724
O  0.735  0.999  0.224

***

no.,spin magnetization (μB per atom)
1,0.00
2,0.00
3,0.00
4,0.00
5,0.07
6,0.00
7,0.00
8,0.00
9,0.00
10,0.00
11,0.00
12,0.00
13,0.00
14,0.00
15,0.16
16,0.00
17,0.00
18,0.79
19,0.00
20,0.00
21,0.00